This record from Alexandria via LeMat-Bulk describes a relaxed PrTl4 crystal. The functional is PBE.

POSCAR file:
```
PrTl4
1.0
0.306 4.415 -2.642
4.263 -2.936 -4.413
-8.801 -3.110 -1.189
Pr Tl
2 8
direct
0.910 0.160 0.821
0.090 0.840 0.179
0.112 0.362 0.225
0.888 0.638 0.775
0.500 0.000 0.000
0.500 0.500 0.000
0.697 0.188 0.394
0.303 0.812 0.606
0.303 0.294 0.606
0.697 0.706 0.394
```

## Properties
- space group = Imma
- Fermi-level density of states (states/eV per cell) = 4.6
- E (eV per atom) = -3.0364
- total magnetization (μB per atom) = 0.000
- polymorph energy (0 for the lowest one) (eV per atom) = 0.000
- ΔH_f (0 K) (kJ/mol of formula units) = -90


This record from Alexandria via LeMat-Bulk describes a relaxed Pr5Tl3 crystal. The functional is PBE.

POSCAR file:
```
Pr5Tl3
1.0
-6.954 4.136 -5.044
4.129 -8.476 1.420
-4.422 0.438 8.436
Pr Tl
10 6
direct
0.585 0.281 0.866
0.415 0.719 0.134
0.281 0.415 0.695
0.915 0.781 0.695
0.781 0.085 0.866
0.250 0.750 0.500
0.750 0.250 0.500
0.085 0.219 0.305
0.719 0.585 0.305
0.219 0.915 0.134
0.339 0.161 0.500
0.161 0.661 0.822
0.750 0.750 0.000
0.839 0.339 0.178
0.661 0.839 0.500
0.250 0.250 0.000
```

## Properties
- space group = I4/mcm
- Fermi-level density of states (states/eV per cell) = 16.1
- E (eV per atom) = -4.1942
- total magnetization (μB per atom) = 0.000
- polymorph energy (0 for the lowest one) (eV per atom) = 0.000
- ΔH_f (0 K) (kJ/mol of formula units) = -247